Entry from the Alexandria database: a geometry-optimized MnAgSn3 structure (PBE-GGA).

Results
- Excess energy over the best structure of this formula in the dataset: 0 meV/atom
- Energy of formation: 0.259 eV/atom
- DOS at the Fermi energy: 0.99 states/eV/f.u.
- E: -4.547 eV per atom

```
MnAgSn3
1.0
4.968 0.000 0.000
0.000 4.968 0.000
0.000 0.000 4.968
Mn Sn Ag
1 3 1
Direct
0.000 0.000 0.000
0.500 0.000 0.000
0.000 0.500 0.000
0.000 0.000 0.500
0.500 0.500 0.500
```